Record 1
Density functional theory data (GGA-PBE) for a relaxed structure of InOsBr.

Computed properties:
Spin magnetization = 0.00 μB/cell
E above lowest polymorph = 0.014 eV/atom
Formation energy from raw total energies = 81 kJ per mole of atoms

Cell lengths 2.9391, 5.5593, 15.7134 Å; angles 90.00, 90.00, 90.00 degrees
With the nearest neighbours (Å) after each atom.
Space group Fmm2 (No. 42)
Unique sites:
In (0.0000, 0.0000, 0.0000) (multiplicity 4)  2 Os 2.84, 6 In 2.94-3.14
Os (0.0000, 0.0000, 0.3450) (multiplicity 4)  2 Br 2.51
Br (0.0000, 0.0000, 0.7156) (multiplicity 4)  2 Os 2.51


Record 2
Density functional theory data (GGA-PBE) for a relaxed structure of KI6.

Computed properties:
Spin magnetization = 0.00 μB/cell
Formation energy from raw total energies = 8 kJ per mole of atoms

Cell lengths 9.5608, 9.5608, 9.5608 Å; angles 90.00, 90.00, 90.00 degrees
With the nearest neighbours (Å) after each atom.
Space group Im-3m (No. 229)
Unique sites:
K (0.0000, 0.0000, 0.0000) (multiplicity 2)  24 I 5.34
I (0.0000, 0.2500, 0.5000) (multiplicity 12)  4 I 3.38


Record 3
Density functional theory data (GGA-PBE) for a relaxed structure of Be2HgW.

Computed properties:
Formation energy = 0.457 eV per atom
Spin magnetization = 0.00 μB/cell

Cell lengths 3.8732, 2.8423, 9.7075 Å; angles 90.00, 90.00, 90.00 degrees
With the nearest neighbours (Å) after each atom.
Space group Amm2 (No. 38)
Unique sites:
Be (0.0000, 0.0000, 0.0000) (multiplicity 2)  2 Be 2.34, 4 W 2.54, 1 Hg 2.58
Be (0.5000, 0.0000, 0.1350) (multiplicity 2)  2 Be 2.34, 2 W 2.56, 4 Hg 2.59
Hg (0.0000, 0.0000, 0.7338) (multiplicity 2)  7 Be 2.58-2.68, 2 Hg 2.84
W (0.5000, 0.0000, 0.4155) (multiplicity 2)  7 Be 2.54-2.72, 2 W 2.84


Record 4
Density functional theory data (GGA-PBE) for a relaxed structure of Hf2Zn2Ga3.

Computed properties:
Formation energy = -0.158 eV per atom
Spin magnetization = 0.00 μB/cell
E above lowest polymorph = 0.095 eV/atom

Cell lengths 14.1158, 3.0043, 12.7137 Å; angles 90.00, 111.04, 90.00 degrees
With the nearest neighbours (Å) after each atom.
Space group C2/m (No. 12)
Unique sites:
Hf (0.0863, 0.0000, 0.2919) (multiplicity 4)  5 Ga 2.82-3.11, 4 Zn 2.87-2.91, 2 Hf 3.00
Hf (0.1674, 0.0000, 0.0847) (multiplicity 4)  7 Ga 2.89-2.98, 3 Hf 3.00-3.23, 2 Zn 3.05
Zn (0.0573, 0.5000, 0.6429) (multiplicity 4)  4 Ga 2.69-2.90, 4 Zn 2.77-3.00, 2 Hf 2.87
Zn (0.2327, 0.0000, 0.6943) (multiplicity 4)  3 Ga 2.65-2.78, 2 Zn 2.77, 2 Hf 2.91
Ga (0.0117, 0.5000, 0.9052) (multiplicity 4)  3 Ga 2.55-2.71, 2 Hf 2.82
Ga (0.1452, 0.0000, 0.8470) (multiplicity 4)  3 Zn 2.65-2.87, 2 Ga 2.71, 3 Hf 2.89-2.92
Ga (0.1563, 0.5000, 0.4978) (multiplicity 4)  4 Zn 2.69-2.90, 2 Hf 2.87, 2 Ga 3.00


Repeat the first record exactly.
Density functional theory data (GGA-PBE) for a relaxed structure of InOsBr.

Computed properties:
Spin magnetization = 0.00 μB/cell
E above lowest polymorph = 0.014 eV/atom
Formation energy from raw total energies = 81 kJ per mole of atoms

Cell lengths 2.9391, 5.5593, 15.7134 Å; angles 90.00, 90.00, 90.00 degrees
With the nearest neighbours (Å) after each atom.
Space group Fmm2 (No. 42)
Unique sites:
In (0.0000, 0.0000, 0.0000) (multiplicity 4)  2 Os 2.84, 6 In 2.94-3.14
Os (0.0000, 0.0000, 0.3450) (multiplicity 4)  2 Br 2.51
Br (0.0000, 0.0000, 0.7156) (multiplicity 4)  2 Os 2.51